[1]
PBE MgBe2HgI, optimized geometry; formation energy without anion corrections = 0.48 eV/atom; E = -8.5 eV for the cell shown; magnetic moment = 0.0 μB/cell
1.0
4.565 0.000 0.000
0.000 4.565 0.000
0.000 0.000 5.740
I Be Mg Hg
1 2 1 1
direct
0.500 0.500 0.500
0.000 0.500 0.000
0.500 0.000 0.000
0.000 0.000 0.500
0.000 0.000 0.000

[2]
PBE BeNiHgI2, optimized geometry; formation energy without anion corrections = 0.56 eV/atom; E = -10.1 eV for the cell shown; magnetic moment = 0.3 μB/cell
1.0
5.428 0.000 0.000
0.000 5.428 0.000
0.000 0.000 4.249
I Ni Hg Be
2 1 1 1
direct
0.000 0.500 0.000
0.500 0.000 0.000
0.000 0.000 0.500
0.500 0.500 0.500
0.000 0.000 0.000

[3]
PBE BeHgIO2, optimized geometry; offset from the most stable computed form = 0.684 eV/atom; formation energy without anion corrections = 0.69 eV/atom; E = -12.0 eV for the cell shown; magnetic moment = 0.0 μB/cell
1.0
-1.159 3.328 -1.971
-1.421 -2.280 -3.014
-6.323 -0.301 3.209
I Be Hg O
1 1 1 2
direct
0.000 0.000 0.500
0.500 0.500 0.500
0.000 0.000 0.000
0.000 0.500 0.000
0.500 0.000 0.000

Number 1: density of states at the Fermi level 4.19 states/eV/cell. Number 2: density of states at the Fermi level 5.30 states/eV/cell. Number 3: density of states at the Fermi level 5.73 states/eV/cell.